*i*
4
Lattice="-3.653 3.889 -0.020 -3.506 0.191 -4.018 2.046 -2.563 4.209" Properties=species:S:1:pos:R:3 comment="Mg2ReNi | Alexandria via LeMat-Bulk | PBE | relaxed" magnetic_moment_mub_per_cell=0.00 crystal_system=orthorhombic pbc="T T T"
Ni -2.593 1.683 1.085
Mg -6.992 3.985 -3.944
Re -2.520 -0.166 -0.914
Mg -3.746 2.135 -2.113

*ii*
4
Lattice="2.658 0.000 0.000 0.000 4.161 0.000 0.000 0.000 5.523" Properties=species:S:1:pos:R:3 comment="Mg2ReNi | Alexandria via LeMat-Bulk | PBE | relaxed" magnetic_moment_mub_per_cell=0.00 crystal_system=orthorhombic pbc="T T T"
Mg 0.000 0.000 0.027
Ni 1.329 2.080 1.381
Re 1.329 2.080 4.142
Mg 0.000 0.000 2.734

*iii*
4
Lattice="-2.064 -0.871 -1.693 1.074 -2.595 0.027 -4.569 -1.823 6.508" Properties=species:S:1:pos:R:3 comment="Mg2ReNi | Alexandria via LeMat-Bulk | PBE | relaxed" magnetic_moment_mub_per_cell=0.00 crystal_system=tetragonal pbc="T T T"
Re -3.756 -3.034 3.811
Mg -4.443 -1.772 6.328
Ni -2.380 -0.949 3.390
Mg -1.835 -2.268 1.075

*iv*
4
Lattice="3.022 -2.447 2.136 -1.053 -1.982 3.827 -0.434 -4.412 0.167" Properties=species:S:1:pos:R:3 comment="Mg2ReNi | Alexandria via LeMat-Bulk | PBE | relaxed" magnetic_moment_mub_per_cell=1.83 crystal_system=cubic pbc="T T T"
Mg 0.384 -2.210 1.533
Mg 1.151 -6.630 4.598
Ni 0.000 0.000 0.000
Re 0.767 -4.420 3.065

Here is how they stack up, most stable first: *iii*, *i*, *ii*, *iv*.

*i*
4
Lattice="2.696 0.000 0.000 0.000 2.696 0.000 0.000 0.000 8.273" Properties=species:S:1:pos:R:3 comment="Mg2ReNi | Alexandria via LeMat-Bulk | PBE | relaxed" magnetic_moment_mub_per_cell=0.00 crystal_system=tetragonal pbc="T T T"
Re 1.348 1.348 6.205
Mg 0.000 0.000 3.934
Ni 1.348 1.348 2.068
Mg 0.000 0.000 0.203

*ii*
4
Lattice="4.393 0.000 0.000 0.000 2.710 -0.016 0.000 1.064 5.239" Properties=species:S:1:pos:R:3 comment="Mg2ReNi | Alexandria via LeMat-Bulk | PBE | relaxed" magnetic_moment_mub_per_cell=0.00 crystal_system=monoclinic pbc="T T T"
Mg 2.196 1.036 1.391
Mg 0.000 3.747 5.104
Ni 0.000 2.067 2.717
Re 2.196 2.583 3.845

*iii*
4
Lattice="5.037 -0.008 0.000 -2.052 4.601 0.000 0.000 0.000 2.642" Properties=species:S:1:pos:R:3 comment="Mg2ReNi | Alexandria via LeMat-Bulk | PBE | relaxed" magnetic_moment_mub_per_cell=0.00 crystal_system=orthorhombic pbc="T T T"
Re -1.026 2.300 1.321
Mg 0.000 0.000 0.000
Mg 1.493 2.296 0.000
Ni 2.519 -0.004 1.321

Here is how they stack up, most stable first: *i*, *ii*, *iii*.

*i*
4
Lattice="-0.401 3.641 2.496 -0.085 -0.341 4.419 3.440 1.432 2.400" Properties=species:S:1:pos:R:3 comment="Mg2ReNi | Alexandria via LeMat-Bulk | PBE | relaxed" magnetic_moment_mub_per_cell=2.57 crystal_system=cubic pbc="T T T"
Mg 0.738 1.183 2.329
Ni 1.477 2.366 4.658
Re 2.215 3.549 6.986
Mg 0.000 0.000 0.000

*ii*
4
Lattice="5.496 0.138 0.665 4.770 2.734 0.665 1.829 0.512 4.568" Properties=species:S:1:pos:R:3 comment="Mg2ReNi | Alexandria via LeMat-Bulk | PBE | relaxed" magnetic_moment_mub_per_cell=0.00 crystal_system=monoclinic pbc="T T T"
Ni 6.013 1.682 2.491
Mg 11.907 3.331 5.712
Re 2.938 0.822 1.906
Mg 9.380 2.624 4.637

*iii*
4
Lattice="-0.577 2.770 -0.391 -4.519 -0.845 0.684 0.538 0.744 4.470" Properties=species:S:1:pos:R:3 comment="Mg2ReNi | Alexandria via LeMat-Bulk | PBE | relaxed" magnetic_moment_mub_per_cell=0.01 crystal_system=orthorhombic pbc="T T T"
Mg -2.548 0.963 0.146
Ni -0.020 1.757 2.040
Re -1.991 -0.051 2.577
Mg 0.000 0.000 0.000

*iv*
4
Lattice="5.242 -0.003 -0.012 -2.398 4.605 0.003 0.445 0.743 2.505" Properties=species:S:1:pos:R:3 comment="Mg2ReNi | Alexandria via LeMat-Bulk | PBE | relaxed" magnetic_moment_mub_per_cell=0.00 crystal_system=monoclinic pbc="T T T"
Re 1.422 2.301 -0.005
Mg 0.000 0.000 0.000
Mg 2.844 0.370 1.247
Ni -0.977 2.674 1.254

Here is how they stack up, most stable first: *ii*, *iv*, *iii*, *i*.

*i*
5
Lattice="3.760 0.000 0.000 0.000 3.760 0.000 1.880 1.880 5.451" Properties=species:S:1:pos:R:3 comment="Mg2Ni2Rh | Alexandria via LeMat-Bulk | PBE | relaxed" magnetic_moment_mub_per_cell=0.00 crystal_system=tetragonal pbc="T T T"
Mg 3.760 1.880 2.725
Mg 1.880 3.760 2.725
Ni 1.880 1.880 1.068
Rh 0.000 0.000 0.000
Ni 3.760 3.760 4.383

*ii*
10
Lattice="7.061 0.000 0.000 0.000 7.061 0.000 0.000 0.000 2.839" Properties=species:S:1:pos:R:3 comment="Mg2Ni2Rh | Alexandria via LeMat-Bulk | PBE | relaxed" magnetic_moment_mub_per_cell=0.30 crystal_system=tetragonal pbc="T T T"
Rh 0.000 0.000 0.000
Ni 4.629 5.963 1.420
Mg 1.019 2.512 0.000
Rh 3.531 3.531 0.000
Mg 4.550 1.019 0.000
Mg 6.043 4.550 0.000
Ni 1.099 4.629 1.420
Mg 2.512 6.043 0.000
Ni 2.432 1.099 1.420
Ni 5.963 2.432 1.420

Here is how they stack up, most stable first: *ii*, *i*.

*i*
3
Lattice="5.816 0.001 -0.001 5.149 2.704 0.007 0.667 0.157 2.699" Properties=species:S:1:pos:R:3 comment="MgNiRh | Alexandria via LeMat-Bulk | PBE | relaxed" magnetic_moment_mub_per_cell=0.59 crystal_system=tetragonal pbc="T T T"
Ni 4.027 0.989 1.820
Mg 10.941 2.699 0.013
Rh 7.630 1.880 0.878

*ii*
12
Lattice="-0.283 2.061 -1.857 5.571 -6.463 -8.019 -4.779 -2.113 -1.616" Properties=species:S:1:pos:R:3 comment="MgNiRh | Alexandria via LeMat-Bulk | PBE | relaxed" magnetic_moment_mub_per_cell=0.00 crystal_system=orthorhombic pbc="T T T"
Mg 3.845 -5.943 -8.225
Mg 0.918 -1.681 -5.144
Mg -3.336 -0.573 -3.268
Rh 3.966 -3.302 -7.408
Rh 1.322 -1.101 -2.469
Ni 1.290 -6.807 -8.795
Ni -1.637 -2.545 -5.714
Rh -1.067 -2.157 -3.277
Ni 2.146 -3.971 -5.779
Rh 1.576 -4.358 -8.216
Ni -0.781 0.291 -2.698
Mg -0.409 -4.835 -6.349

*iii*
3
Lattice="-1.644 1.243 -1.862 -0.961 -0.563 2.545 2.014 5.691 2.021" Properties=species:S:1:pos:R:3 comment="MgNiRh | Alexandria via LeMat-Bulk | PBE | relaxed" magnetic_moment_mub_per_cell=0.64 crystal_system=trigonal pbc="T T T"
Mg 0.008 0.024 0.008
Ni -0.735 2.567 0.291
Rh 0.136 3.780 2.404

*iv*
3
Lattice="4.788 0.106 -0.090 2.559 4.048 0.090 -3.429 -2.509 2.211" Properties=species:S:1:pos:R:3 comment="MgNiRh | Alexandria via LeMat-Bulk | PBE | relaxed" magnetic_moment_mub_per_cell=1.05 crystal_system=orthorhombic pbc="T T T"
Ni 4.968 2.809 0.000
Rh 2.369 1.340 0.000
Mg 0.009 0.005 0.000

Here is how they stack up, most stable first: *i*, *iv*, *ii*, *iii*.

*i*
6
Lattice="4.407 -0.109 -2.346 -2.972 4.012 -0.101 0.102 0.109 4.991" Properties=species:S:1:pos:R:3 comment="MgNiRh | Alexandria via LeMat-Bulk | PBE | relaxed" magnetic_moment_mub_per_cell=0.00 crystal_system=orthorhombic pbc="T T T"
Ni 2.255 0.000 1.323
Rh -1.486 2.006 -0.050
Mg 0.714 3.448 -1.217
Rh 0.769 2.006 1.273
Mg 0.823 0.564 3.762
Ni -1.435 2.060 2.445

*ii*
3
Lattice="4.092 0.000 0.000 2.046 3.544 0.000 2.046 1.181 3.341" Properties=species:S:1:pos:R:3 comment="MgNiRh | Alexandria via LeMat-Bulk | PBE | relaxed" magnetic_moment_mub_per_cell=1.04 crystal_system=cubic pbc="T T T"
Rh 0.000 0.000 0.000
Ni 6.138 3.544 2.506
Mg 4.092 2.362 1.670

*iii*
3
Lattice="4.225 0.000 0.000 -2.113 3.659 0.000 0.000 0.000 2.814" Properties=species:S:1:pos:R:3 comment="MgNiRh | Alexandria via LeMat-Bulk | PBE | relaxed" magnetic_moment_mub_per_cell=0.00 crystal_system=hexagonal pbc="T T T"
Ni 0.000 2.439 1.406
Mg 0.000 0.000 0.000
Rh 2.113 1.220 1.408

Here is how they stack up, most stable first: *i*, *iii*, *ii*.

*i*
5
Lattice="-2.606 -1.950 -3.241 -2.172 -2.451 3.221 -3.097 3.360 0.469" Properties=species:S:1:pos:R:3 comment="Mg3NiRh | Alexandria via LeMat-Bulk | PBE | relaxed" magnetic_moment_mub_per_cell=0.00 crystal_system=cubic pbc="T T T"
Ni 0.000 0.000 0.000
Mg -1.086 -1.225 1.610
Rh -3.937 -0.520 0.224
Mg -1.548 1.680 0.234
Mg -1.303 -0.975 -1.621

*ii*
5
Lattice="4.808 0.000 0.000 0.000 4.808 0.000 0.000 0.000 4.808" Properties=species:S:1:pos:R:3 comment="Mg3NiRh | Alexandria via LeMat-Bulk | PBE | relaxed" magnetic_moment_mub_per_cell=0.00 crystal_system=cubic pbc="T T T"
Mg 0.000 2.404 0.000
Rh 0.000 0.000 0.000
Mg 2.404 0.000 0.000
Ni 2.404 2.404 2.404
Mg 0.000 0.000 2.404

Here is how they stack up, most stable first: *i*, *ii*.

*i*
5
Lattice="4.835 0.000 0.000 0.000 4.835 0.000 0.000 0.000 4.835" Properties=species:S:1:pos:R:3 comment="Mg3NiRu | Alexandria via LeMat-Bulk | PBE | relaxed" magnetic_moment_mub_per_cell=0.25 crystal_system=cubic pbc="T T T"
Ru 0.000 0.000 0.000
Mg 0.000 0.000 2.418
Ni 2.418 2.418 2.418
Mg 2.418 0.000 0.000
Mg 0.000 2.418 0.000

*ii*
5
Lattice="-1.451 3.657 -2.359 -4.300 -0.825 1.368 0.666 2.644 3.689" Properties=species:S:1:pos:R:3 comment="Mg3NiRu | Alexandria via LeMat-Bulk | PBE | relaxed" magnetic_moment_mub_per_cell=1.19 crystal_system=cubic pbc="T T T"
Mg -2.150 -0.412 0.684
Mg 0.333 1.322 1.844
Ni 0.000 0.000 0.000
Mg -0.726 1.828 -1.179
Ru -2.543 2.738 1.349

Here is how they stack up, most stable first: *ii*, *i*.